Entry 1:
LiHgBi: relaxed, PBE-GGA.

Computed properties:
DFT formation energy in eV per atom: -0.24
V in Å³/cell: 72
Raw total energy in eV/atom: -2.2717
SG: No. 107

Unit cell a=3.3431 b=3.3431 c=6.9000 alpha=104.02 beta=104.02 gamma=90.00
Atoms (fractional coordinates):
1 Hg 0.9282 0.9282 0.8564
2 Bi 0.6282 0.6282 0.2564
3 Li 0.2936 0.2936 0.5872

Entry 2:
CsY3S: relaxed, PBE-GGA.

Computed properties:
Offset from the most stable computed form in eV/atom: 1.5870
V in Å³/cell: 175
Raw total energy in eV/atom: -3.4632
SG: No. 221
ΔE_f (raw) in eV/atom: 1.4114

Unit cell a=5.5961 b=5.5961 c=5.5961 alpha=90.00 beta=90.00 gamma=90.00
Atoms (fractional coordinates):
1 Cs 0.0000 0.0000 0.0000
2 Y 0.0000 0.5000 0.0000
3 Y 0.0000 0.0000 0.5000
4 Y 0.5000 0.0000 0.0000
5 S 0.5000 0.5000 0.5000

Entry 3:
BaLiCo2: relaxed, PBE-GGA.

Computed properties:
Offset from the most stable computed form in eV/atom: 0.2450
DFT formation energy in eV per atom: 0.50
V in Å³/cell: 88
Raw total energy in eV/atom: -4.0114
SG: No. 44

Unit cell a=5.2995 b=5.2995 c=5.2995 alpha=136.21 beta=118.28 gamma=78.71
Atoms (fractional coordinates):
1 Ba 0.2284 0.7284 0.5000
2 Co 0.9232 0.9232 0.0000
3 Co 0.7972 0.2972 0.5000
4 Li 0.5512 0.5512 0.0000

Question: Number 1 is which compound?
Answer: LiHgBi

Question: The highest raw total energy belongs to which entry?
Answer: LiHgBi

Question: The highest raw total energy belongs to which entry?
Answer: LiHgBi